# 1
## TcAg (meta-GGA SCAN)

Data for a crystal of TcAg relaxed with PBEsol.

Results
E above lowest polymorph: 344 meV per atom
crystal system: tetragonal
calculated volume: 14.9 A^3/atom
energy of formation from the pure elements: 0.6010 eV/atom

Cell: 4.748 4.748 4.748 Å, 130.96 130.96 71.88°
Fractional coordinates of all 4 atoms:
Tc 0.375 0.625 0.750
Tc 0.625 0.375 0.250
Ag 0.125 0.875 0.250
Ag 0.875 0.125 0.750

***

# 2
## Be2NiTe (meta-GGA SCAN)

Data for a crystal of Be2NiTe relaxed with PBEsol.

Results
energy relative to the elements, uncorrected: 0.328 eV/atom
crystal system: tetragonal
calculated volume: 13.3 A^3/atom

Cell: 3.309 3.309 4.842 Å, 90.00 90.00 90.00°
Fractional coordinates of all 4 atoms:
Be 0.000 0.000 0.000
Be 0.500 0.500 0.235
Ni 0.000 0.000 0.439
Te 0.500 0.500 0.732

***

# 3
## SiHgOs2 (meta-GGA SCAN)

Data for a crystal of SiHgOs2 relaxed with PBEsol.

Results
energy relative to the elements, uncorrected: 0.749 eV/atom
E above lowest polymorph: 495 meV per atom
crystal system: tetragonal
calculated volume: 14.8 A^3/atom

Cell: 4.370 4.370 3.091 Å, 90.00 90.00 90.00°
Fractional coordinates of all 4 atoms:
Si 0.000 0.000 0.000
Hg 0.500 0.500 0.000
Os 0.000 0.500 0.500
Os 0.500 0.000 0.500

***

# 4
## Gd2Mn17C3 (meta-GGA SCAN)

Data for a crystal of Gd2Mn17C3 relaxed with PBEsol.

Results
crystal system: trigonal
calculated volume: 11.3 A^3/atom
energy of formation from the pure elements: -0.1092 eV/atom

Cell: 6.325 6.325 6.325 Å, 83.44 83.44 83.44°
Fractional coordinates of all 22 atoms:
Gd 0.149 0.149 0.149
Gd 0.851 0.851 0.851
Mn 0.000 0.500 0.500
Mn 0.158 0.158 0.635
Mn 0.158 0.635 0.158
Mn 0.224 0.500 0.776
Mn 0.224 0.776 0.500
Mn 0.365 0.842 0.842
Mn 0.405 0.405 0.405
Mn 0.500 0.000 0.500
Mn 0.500 0.224 0.776
Mn 0.500 0.500 0.000
Mn 0.500 0.776 0.224
Mn 0.595 0.595 0.595
Mn 0.635 0.158 0.158
Mn 0.776 0.224 0.500
Mn 0.776 0.500 0.224
Mn 0.842 0.365 0.842
Mn 0.842 0.842 0.365
C 0.000 0.000 0.500
C 0.000 0.500 0.000
C 0.500 0.000 0.000

***

# 5
## YGa3NiGe (meta-GGA SCAN)

Data for a crystal of YGa3NiGe relaxed with PBEsol.

Results
crystal system: tetragonal
calculated volume: 17.0 A^3/atom
energy of formation from the pure elements: -0.5941 eV/atom

Cell: 12.204 12.204 12.204 Å, 160.43 160.43 27.81°
Fractional coordinates of all 12 atoms:
Y 0.000 0.000 0.000
Y 0.298 0.298 0.000
Ga 0.089 0.589 0.500
Ga 0.198 0.698 0.500
Ga 0.405 0.905 0.500
Ga 0.589 0.089 0.500
Ga 0.698 0.198 0.500
Ga 0.905 0.405 0.500
Ni 0.144 0.144 0.000
Ni 0.862 0.862 0.000
Ge 0.496 0.496 0.000
Ge 0.768 0.768 0.000

***

# 6
## BaMnPCl2 (meta-GGA SCAN)

Data for a crystal of BaMnPCl2 relaxed with PBEsol.

Results
energy relative to the elements, uncorrected: -1.400 eV/atom
crystal system: tetragonal
calculated volume: 22.9 A^3/atom

Cell: 4.918 4.918 4.727 Å, 90.00 90.00 90.00°
Fractional coordinates of all 5 atoms:
Ba 0.000 0.000 0.000
Mn 0.500 0.500 0.500
P 0.500 0.500 0.000
Cl 0.000 0.500 0.500
Cl 0.500 0.000 0.500

***

# 7
## Be2TlFe (meta-GGA SCAN)

Data for a crystal of Be2TlFe relaxed with PBEsol.

Results
crystal system: monoclinic
calculated volume: 12.8 A^3/atom
energy of formation from the pure elements: 0.5012 eV/atom

Cell: 4.230 4.230 4.390 Å, 102.76 102.76 41.98°
Fractional coordinates of all 4 atoms:
Be 0.214 0.214 0.125
Be 0.786 0.786 0.875
Tl 0.000 0.000 0.500
Fe 0.500 0.500 0.000

***

# 8
## FeNiIr2 (meta-GGA SCAN)

Data for a crystal of FeNiIr2 relaxed with PBEsol.

Results
E above lowest polymorph: 0 meV per atom
crystal system: tetragonal
calculated volume: 12.4 A^3/atom
energy of formation from the pure elements: -0.1290 eV/atom

Cell: 4.550 4.550 4.550 Å, 132.79 132.79 68.98°
Fractional coordinates of all 4 atoms:
Fe 0.000 0.000 0.000
Ni 0.250 0.750 0.500
Ir 0.500 0.500 0.000
Ir 0.750 0.250 0.500